BeTcNi2 | OQMD | PBE-GGA | relaxed; calculated total energy = -25.26 eV for the cell shown
1.0
0.000 2.804 2.804
2.804 0.000 2.804
2.804 2.804 0.000
Be Tc Ni
1 1 2
Direct
0.000 0.000 0.000
0.750 0.750 0.750
0.250 0.250 0.250
0.500 0.500 0.500

---

BeTc2Ni | OQMD | PBE-GGA | relaxed; calculated total energy = -29.81 eV for the cell shown
1.0
0.000 2.920 2.920
2.920 0.000 2.920
2.920 2.920 0.000
Be Tc Ni
1 2 1
Direct
0.000 0.000 0.000
0.250 0.250 0.250
0.500 0.500 0.500
0.750 0.750 0.750

---

Be2TcNi | OQMD | PBE-GGA | relaxed; calculated total energy = -23.24 eV for the cell shown
1.0
0.000 2.786 2.786
2.786 0.000 2.786
2.786 2.786 0.000
Be Tc Ni
2 1 1
Direct
0.000 0.000 0.000
0.250 0.250 0.250
0.750 0.750 0.750
0.500 0.500 0.500

---

BeZnTcNi | OQMD | PBE-GGA | relaxed; calculated total energy = -20.69 eV for the cell shown
1.0
0.000 2.883 2.883
2.883 0.000 2.883
2.883 2.883 0.000
Be Zn Tc Ni
1 1 1 1
Direct
0.000 0.000 0.000
0.250 0.250 0.250
0.750 0.750 0.750
0.500 0.500 0.500

---

BeZnTcNi | OQMD | PBE-GGA | relaxed; calculated total energy = -20.62 eV for the cell shown
1.0
0.000 2.868 2.868
2.868 0.000 2.868
2.868 2.868 0.000
Be Zn Tc Ni
1 1 1 1
Direct
0.000 0.000 0.000
0.500 0.500 0.500
0.250 0.250 0.250
0.750 0.750 0.750

---

BeNiTe2 | OQMD | PBE-GGA | relaxed; calculated total energy = -12.19 eV for the cell shown
1.0
0.000 3.394 3.394
3.394 0.000 3.394
3.394 3.394 0.000
Be Ni Te
1 1 2
Direct
0.000 0.000 0.000
0.750 0.750 0.750
0.250 0.250 0.250
0.500 0.500 0.500

---

ThBeNi | OQMD | PBE-GGA | relaxed; calculated total energy = -16.63 eV for the cell shown
1.0
0.000 3.113 3.113
3.113 0.000 3.113
3.113 3.113 0.000
Th Be Ni
1 1 1
Direct
0.000 0.000 0.000
0.500 0.500 0.500
0.250 0.250 0.250

---

ThBeNi | OQMD | PBE-GGA | relaxed; calculated total energy = -16.08 eV for the cell shown
1.0
0.000 3.037 3.037
3.037 0.000 3.037
3.037 3.037 0.000
Th Be Ni
1 1 1
Direct
0.000 0.000 0.000
0.750 0.750 0.750
0.500 0.500 0.500